{
  "formula": "CuMo3Pb",
  "functional": "PBE",
  "state": "relaxed",
  "cell": [[-2.196, -3.785, 1.377], [-0.337, -1.390, -4.359], [4.014, -2.187, 0.388]],
  "species": ["Mo", "Mo", "Mo", "Cu", "Pb"],
  "fractional_positions": [[0.000, 0.500, 0.000], [0.000, 0.000, 0.500], [0.500, 0.000, 0.000], [0.000, 0.000, 0.000], [0.500, 0.500, 0.500]],
  "total_energy_ev_per_cell": -32.9,
  "mass_density_kg_m3": 9607,
  "polymorph_energy_mev_per_atom": 0
}